(1)
Here is a relaxed SrDyAs2Pd4 crystal from the Alexandria database. Energies are from PBE.

abc: 4.1555 4.1555 10.0291
angles: 90.00 90.00 90.00
With the nearest neighbours (Å) after each atom.
Atoms (fractional coordinates):
Pd1 0.5000 0.0000 0.7974  2 As 2.49
Pd2 0.0000 0.5000 0.2026  2 As 2.49
Pd3 0.0000 0.5000 0.7974  2 As 2.49
Pd4 0.5000 0.0000 0.2026  2 As 2.49
Sr1 0.0000 0.0000 0.5000  8 As 3.35, 8 Pd 3.64
Dy1 0.0000 0.0000 0.0000  8 Pd 2.91
As1 0.5000 0.5000 0.6612  4 Pd 2.49
As2 0.5000 0.5000 0.3388  4 Pd 2.49

Results
ρ ... 7.92 Mg/m³
Energy relative to the elements ... -0.700 eV/atom
E_tot ... -5.24 eV/atom

***

(2)
Here is a relaxed LaPrY6Er2 crystal from the Alexandria database. Energies are from PBE.

abc: 9.5795 8.8538 8.8538
angles: 116.65 93.19 93.19
With the nearest neighbours (Å) after each atom.
Atoms (fractional coordinates):
Y1 0.8215 0.4404 0.9839  3 Y 3.25-3.63, 2 Er 3.46-3.54, 1 Pr 3.51, 1 La 3.56
Y2 0.3866 0.5172 0.2946  4 Y 3.25-3.54, 3 Er 3.34-3.50, 2 Pr 3.46-3.51
Y3 0.0580 0.1158 0.7550  7 Y 3.43-3.82, 1 Er 3.50, 2 La 3.73-3.79
Y4 0.6134 0.4828 0.7054  4 Y 3.25-3.54, 3 Er 3.34-3.50, 2 Pr 3.46-3.51
Y5 0.4420 0.2450 0.8842  7 Y 3.43-3.82, 1 Er 3.50, 2 La 3.73-3.79
Y6 0.3215 0.9839 0.4404  3 Y 3.25-3.63, 2 Er 3.46-3.54, 1 Pr 3.51, 1 La 3.56
Y7 0.5580 0.7550 0.1158  7 Y 3.43-3.82, 1 Er 3.50, 2 La 3.73-3.79
Y8 0.1134 0.7054 0.4828  4 Y 3.25-3.54, 3 Er 3.34-3.50, 2 Pr 3.46-3.51
Y9 0.1785 0.5596 0.0161  3 Y 3.25-3.63, 2 Er 3.46-3.54, 1 Pr 3.51, 1 La 3.56
Y10 0.9420 0.8842 0.2450  7 Y 3.43-3.82, 1 Er 3.50, 2 La 3.73-3.79
Y11 0.6785 0.0161 0.5596  3 Y 3.25-3.63, 2 Er 3.46-3.54, 1 Pr 3.51, 1 La 3.56
Y12 0.8866 0.2946 0.5172  4 Y 3.25-3.54, 3 Er 3.34-3.50, 2 Pr 3.46-3.51
Pr1 0.7500 0.5904 0.4096  6 Y 3.46-3.51, 2 Er 3.57
Pr2 0.2500 0.4096 0.5904  6 Y 3.46-3.51, 2 Er 3.57
Er1 0.9477 0.7011 0.8039  6 Y 3.34-3.54, 2 La 3.38-3.51, 1 Pr 3.57
Er2 0.5523 0.1961 0.2989  6 Y 3.34-3.54, 2 La 3.38-3.51, 1 Pr 3.57
Er3 0.0523 0.2989 0.1961  6 Y 3.34-3.54, 2 La 3.38-3.51, 1 Pr 3.57
Er4 0.4477 0.8039 0.7011  6 Y 3.34-3.54, 2 La 3.38-3.51, 1 Pr 3.57
La1 0.2500 0.9663 0.0337  4 Er 3.38-3.51, 6 Y 3.56-3.79
La2 0.7500 0.0337 0.9663  4 Er 3.38-3.51, 6 Y 3.56-3.79

Results
ρ ... 5.71 Mg/m³
Energy relative to the elements ... 0.120 eV/atom
E_tot ... -5.64 eV/atom